No. 1
Computed, not measured: crystalline CsRb2Hg2 at its relaxed geometry at the PBE level of DFT.

## Properties
- crystal system = tetragonal
- E above lowest polymorph (eV/f.u.) = 0.19
- formation enthalpy at 0 K (kJ per mole of atoms) = -14.0

a b c (Å): 5.961 5.961 8.794
angles (deg): 70.19 70.19 90.00
Fractional positions:
Rb: 0.750 0.250 0.500
Rb: 0.250 0.750 0.500
Cs: 0.000 0.000 0.000
Hg: 0.597 0.597 0.806
Hg: 0.403 0.403 0.194

=====

No. 2
Computed, not measured: crystalline Cs6Rb3Hg2 at its relaxed geometry at the PBE level of DFT.

## Properties
- crystal system = tetragonal
- formation enthalpy at 0 K (kJ per mole of atoms) = -3.8

a b c (Å): 6.712 6.712 21.556
angles (deg): 98.96 98.96 90.00
Fractional positions:
Cs: 0.293 0.293 0.585
Cs: 0.415 0.915 0.829
Cs: 0.915 0.415 0.829
Cs: 0.585 0.085 0.171
Cs: 0.707 0.707 0.415
Cs: 0.085 0.585 0.171
Rb: 0.825 0.825 0.651
Rb: 0.175 0.175 0.349
Rb: 0.000 0.000 0.000
Hg: 0.536 0.536 0.071
Hg: 0.464 0.464 0.929

=====

No. 3
Computed, not measured: crystalline CsRb2Hg2 at its relaxed geometry at the PBE level of DFT.

## Properties
- crystal system = tetragonal
- E above lowest polymorph (eV/f.u.) = 0.36
- formation enthalpy at 0 K (kJ per mole of atoms) = -10.7

a b c (Å): 10.974 10.974 4.341
angles (deg): 90.00 90.00 90.00
Fractional positions:
Rb: 0.130 0.370 0.000
Rb: 0.370 0.870 0.000
Rb: 0.630 0.130 0.000
Rb: 0.870 0.630 0.000
Hg: 0.165 0.665 0.500
Hg: 0.665 0.835 0.500
Hg: 0.835 0.335 0.500
Hg: 0.335 0.165 0.500
Cs: 0.500 0.500 0.000
Cs: 0.000 0.000 0.000

=====

No. 4
Computed, not measured: crystalline CsRb3Hg at its relaxed geometry at the PBE level of DFT.

## Properties
- crystal system = cubic
- E above lowest polymorph (eV/f.u.) = 1.87
- formation enthalpy at 0 K (kJ per mole of atoms) = 27.1

a b c (Å): 8.819 8.819 8.819
angles (deg): 90.00 90.00 90.00
Fractional positions:
Hg: 0.500 0.500 0.500
Cs: 0.000 0.000 0.000
Rb: 0.500 0.000 0.000
Rb: 0.000 0.500 0.000
Rb: 0.000 0.000 0.500

=====

No. 5
Computed, not measured: crystalline Cs5Rb2Hg4 at its relaxed geometry at the PBE level of DFT.

## Properties
- crystal system = monoclinic
- E above lowest polymorph (eV/f.u.) = 0.24
- formation enthalpy at 0 K (kJ per mole of atoms) = -12.2

a b c (Å): 9.050 7.903 12.967
angles (deg): 78.41 69.57 55.07
Fractional positions:
Cs: 0.191 0.252 0.871
Cs: 0.686 0.252 0.871
Cs: 0.000 0.500 0.500
Cs: 0.809 0.748 0.129
Cs: 0.314 0.748 0.129
Rb: 0.695 0.252 0.358
Rb: 0.305 0.748 0.642
Hg: 0.654 0.053 0.640
Hg: 0.712 0.745 0.831
Hg: 0.288 0.255 0.169
Hg: 0.346 0.947 0.360

=====

No. 6
Computed, not measured: crystalline Cs6Rb2Hg at its relaxed geometry at the PBE level of DFT.

## Properties
- crystal system = trigonal
- E above lowest polymorph (eV/f.u.) = 0.33
- formation enthalpy at 0 K (kJ per mole of atoms) = -0.8

a b c (Å): 12.732 9.203 9.203
angles (deg): 120.00 90.00 90.00
Fractional positions:
Cs: 0.179 0.332 0.000
Cs: 0.821 0.668 0.000
Cs: 0.179 0.668 0.668
Cs: 0.821 0.332 0.332
Cs: 0.821 0.000 0.668
Cs: 0.179 0.000 0.332
Hg: 0.000 0.000 0.000
Rb: 0.500 0.333 0.667
Rb: 0.500 0.667 0.333

=====

No. 7
Computed, not measured: crystalline Cs2Rb5Hg2 at its relaxed geometry at the PBE level of DFT.

## Properties
- crystal system = monoclinic
- formation enthalpy at 0 K (kJ per mole of atoms) = -8.2

a b c (Å): 5.182 8.851 15.725
angles (deg): 82.48 90.00 107.02
Fractional positions:
Rb: 0.144 0.287 0.423
Rb: 0.730 0.459 0.133
Rb: 0.270 0.541 0.867
Rb: 0.000 0.000 0.000
Rb: 0.856 0.713 0.577
Hg: 0.082 0.164 0.204
Hg: 0.918 0.836 0.796
Cs: 0.574 0.148 0.710
Cs: 0.426 0.852 0.290

=====

No. 8
Computed, not measured: crystalline Cs3RbHg at its relaxed geometry at the PBE level of DFT.

## Properties
- crystal system = monoclinic
- E above lowest polymorph (eV/f.u.) = 0.06
- formation enthalpy at 0 K (kJ per mole of atoms) = -8.6

a b c (Å): 22.351 13.655 13.655
angles (deg): 99.15 133.84 46.16
Fractional positions:
Cs: 0.025 0.912 0.832
Cs: 0.434 0.513 0.746
Cs: 0.928 0.858 0.384
Cs: 0.066 0.246 0.013
Cs: 0.475 0.332 0.412
Cs: 0.428 0.116 0.642
Cs: 0.566 0.487 0.254
Cs: 0.525 0.668 0.588
Cs: 0.072 0.142 0.616
Cs: 0.572 0.884 0.358
Cs: 0.975 0.088 0.168
Cs: 0.934 0.754 0.987
Rb: 0.430 0.273 0.985
Rb: 0.070 0.485 0.773
Rb: 0.930 0.515 0.227
Rb: 0.570 0.727 0.015
Hg: 0.750 0.795 0.295
Hg: 0.250 0.030 0.530
Hg: 0.750 0.970 0.470
Hg: 0.250 0.205 0.705

=====

No. 9
Computed, not measured: crystalline Cs5Rb3Hg2 at its relaxed geometry at the PBE level of DFT.

## Properties
- crystal system = tetragonal
- formation enthalpy at 0 K (kJ per mole of atoms) = -8.1

a b c (Å): 5.468 17.095 17.095
angles (deg): 90.00 90.00 90.00
Fractional positions:
Hg: 0.000 0.879 0.379
Hg: 0.000 0.621 0.879
Hg: 0.000 0.121 0.621
Hg: 0.000 0.379 0.121
Rb: 0.000 0.826 0.674
Rb: 0.000 0.500 0.500
Rb: 0.000 0.326 0.826
Rb: 0.000 0.000 0.000
Rb: 0.000 0.174 0.326
Rb: 0.000 0.674 0.174
Cs: 0.500 0.278 0.571
Cs: 0.500 0.722 0.429
Cs: 0.500 0.571 0.722
Cs: 0.500 0.778 0.929
Cs: 0.500 0.929 0.222
Cs: 0.500 0.000 0.500
Cs: 0.500 0.222 0.071
Cs: 0.500 0.071 0.778
Cs: 0.500 0.500 0.000
Cs: 0.500 0.429 0.278

=====

No. 10
Computed, not measured: crystalline Cs2Rb6Hg at its relaxed geometry at the PBE level of DFT.

## Properties
- crystal system = monoclinic
- E above lowest polymorph (eV/f.u.) = 0.00
- formation enthalpy at 0 K (kJ per mole of atoms) = -4.4

a b c (Å): 10.280 10.280 10.281
angles (deg): 59.99 59.99 60.01
Fractional positions:
Rb: 0.247 0.247 0.752
Rb: 0.247 0.753 0.247
Rb: 0.753 0.247 0.753
Rb: 0.247 0.753 0.753
Rb: 0.753 0.247 0.247
Rb: 0.753 0.753 0.248
Cs: 0.750 0.750 0.750
Cs: 0.250 0.250 0.250
Hg: 0.500 0.500 0.500

=====

No. 11
Computed, not measured: crystalline Cs2Rb12Hg7 at its relaxed geometry at the PBE level of DFT.

## Properties
- crystal system = trigonal
- formation enthalpy at 0 K (kJ per mole of atoms) = -14.0

a b c (Å): 5.792 15.585 15.585
angles (deg): 120.00 90.00 90.00
Fractional positions:
Rb: 0.246 0.147 0.890
Rb: 0.246 0.110 0.257
Rb: 0.754 0.257 0.147
Rb: 0.754 0.853 0.110
Rb: 0.749 0.382 0.941
Rb: 0.251 0.941 0.559
Rb: 0.754 0.890 0.743
Rb: 0.749 0.059 0.441
Rb: 0.749 0.559 0.618
Rb: 0.251 0.618 0.059
Rb: 0.251 0.441 0.382
Rb: 0.246 0.743 0.853
Hg: 0.749 0.291 0.415
Hg: 0.251 0.876 0.291
Hg: 0.251 0.415 0.124
Hg: 0.749 0.585 0.876
Hg: 0.500 0.000 0.000
Hg: 0.251 0.709 0.585
Hg: 0.749 0.124 0.709
Cs: 0.248 0.333 0.667
Cs: 0.752 0.667 0.333

=====

No. 12
Computed, not measured: crystalline CsRb8Hg4 at its relaxed geometry at the PBE level of DFT.

## Properties
- crystal system = tetragonal
- formation enthalpy at 0 K (kJ per mole of atoms) = -10.7

a b c (Å): 5.398 13.001 13.001
angles (deg): 87.53 78.02 78.02
Fractional positions:
Rb: 0.598 0.720 0.084
Rb: 0.323 0.599 0.755
Rb: 0.922 0.755 0.401
Rb: 0.318 0.084 0.280
Rb: 0.682 0.916 0.720
Rb: 0.402 0.280 0.916
Rb: 0.078 0.245 0.599
Rb: 0.677 0.401 0.245
Cs: 0.000 0.000 0.000
Hg: 0.207 0.525 0.062
Hg: 0.731 0.062 0.475
Hg: 0.269 0.938 0.525
Hg: 0.793 0.475 0.938

=====

No. 13
Computed, not measured: crystalline Cs3Rb4Hg2 at its relaxed geometry at the PBE level of DFT.

## Properties
- crystal system = monoclinic
- formation enthalpy at 0 K (kJ per mole of atoms) = -10.1

a b c (Å): 10.084 12.041 12.041
angles (deg): 73.46 77.22 77.22
Fractional positions:
Rb: 0.655 0.132 0.654
Rb: 0.447 0.614 0.770
Rb: 0.053 0.230 0.386
Rb: 0.553 0.386 0.230
Rb: 0.345 0.868 0.346
Rb: 0.155 0.654 0.132
Rb: 0.947 0.770 0.614
Rb: 0.845 0.346 0.868
Cs: 0.203 0.984 0.758
Cs: 0.797 0.016 0.242
Cs: 0.750 0.578 0.422
Cs: 0.250 0.422 0.578
Cs: 0.297 0.242 0.016
Cs: 0.703 0.758 0.984
Hg: 0.421 0.121 0.447
Hg: 0.579 0.879 0.553
Hg: 0.921 0.447 0.121
Hg: 0.079 0.553 0.879

=====

No. 14
Computed, not measured: crystalline CsRbHg2 at its relaxed geometry at the PBE level of DFT.

## Properties
- crystal system = orthorhombic
- E above lowest polymorph (eV/f.u.) = 0.00
- formation enthalpy at 0 K (kJ per mole of atoms) = -23.8

a b c (Å): 5.252 7.442 10.056
angles (deg): 90.00 90.00 90.00
Fractional positions:
Hg: 0.500 0.861 0.462
Hg: 0.500 0.139 0.962
Hg: 0.000 0.653 0.535
Hg: 0.000 0.347 0.035
Rb: 0.000 0.133 0.678
Rb: 0.000 0.867 0.178
Cs: 0.500 0.365 0.326
Cs: 0.500 0.635 0.826

=====

No. 15
Computed, not measured: crystalline CsRb2Hg2 at its relaxed geometry at the PBE level of DFT.

## Properties
- crystal system = tetragonal
- E above lowest polymorph (eV/f.u.) = 0.00
- formation enthalpy at 0 K (kJ per mole of atoms) = -17.6

a b c (Å): 9.854 9.854 5.508
angles (deg): 90.00 90.00 90.00
Fractional positions:
Hg: 0.611 0.111 0.000
Hg: 0.111 0.389 0.000
Hg: 0.389 0.889 0.000
Hg: 0.889 0.611 0.000
Cs: 0.500 0.500 0.000
Cs: 0.000 0.000 0.000
Rb: 0.835 0.335 0.500
Rb: 0.335 0.165 0.500
Rb: 0.165 0.665 0.500
Rb: 0.665 0.835 0.500

=====

No. 16
Computed, not measured: crystalline Cs5RbHg at its relaxed geometry at the PBE level of DFT.

## Properties
- crystal system = monoclinic
- formation enthalpy at 0 K (kJ per mole of atoms) = -4.7

a b c (Å): 9.926 9.926 16.248
angles (deg): 70.74 70.74 62.44
Fractional positions:
Cs: 0.603 0.994 0.119
Cs: 0.826 0.446 0.948
Cs: 0.994 0.603 0.619
Cs: 0.970 0.030 0.750
Cs: 0.030 0.970 0.250
Cs: 0.446 0.826 0.448
Cs: 0.397 0.006 0.881
Cs: 0.006 0.397 0.381
Cs: 0.554 0.174 0.552
Cs: 0.174 0.554 0.052
Rb: 0.536 0.464 0.250
Rb: 0.464 0.536 0.750
Hg: 0.000 0.000 0.000
Hg: 0.000 0.000 0.500

=====

No. 17
Computed, not measured: crystalline Cs14RbHg at its relaxed geometry at the PBE level of DFT.

## Properties
- crystal system = orthorhombic
- formation enthalpy at 0 K (kJ per mole of atoms) = -1.5

a b c (Å): 10.716 10.716 15.142
angles (deg): 90.00 90.00 104.40
Fractional positions:
Cs: 0.447 0.181 0.311
Cs: 0.907 0.093 0.281
Cs: 0.102 0.898 0.000
Cs: 0.819 0.553 0.689
Cs: 0.572 0.428 0.000
Cs: 0.601 0.848 0.500
Cs: 0.047 0.375 0.000
Cs: 0.334 0.666 0.230
Cs: 0.625 0.953 0.000
Cs: 0.819 0.553 0.311
Cs: 0.152 0.399 0.500
Cs: 0.334 0.666 0.770
Cs: 0.447 0.181 0.689
Cs: 0.907 0.093 0.719
Rb: 0.126 0.874 0.500
Hg: 0.759 0.241 0.500

=====

No. 18
Computed, not measured: crystalline CsRb4Hg3 at its relaxed geometry at the PBE level of DFT.

## Properties
- crystal system = orthorhombic
- formation enthalpy at 0 K (kJ per mole of atoms) = -15.2

a b c (Å): 5.282 5.233 17.104
angles (deg): 90.00 90.00 90.00
Fractional positions:
Hg: 0.000 0.500 0.567
Hg: 0.000 0.000 0.470
Hg: 0.500 0.000 0.858
Rb: 0.000 0.500 0.797
Rb: 0.500 0.500 0.409
Rb: 0.500 0.000 0.631
Rb: 0.000 0.000 0.239
Cs: 0.500 0.500 0.030

=====

No. 19
Computed, not measured: crystalline Cs5Rb2Hg2 at its relaxed geometry at the PBE level of DFT.

## Properties
- crystal system = monoclinic
- formation enthalpy at 0 K (kJ per mole of atoms) = -9.6

a b c (Å): 10.546 6.153 11.135
angles (deg): 73.96 81.46 90.00
Fractional positions:
Cs: 0.000 0.000 0.000
Cs: 0.037 0.333 0.333
Cs: 0.381 0.805 0.390
Cs: 0.619 0.195 0.610
Cs: 0.963 0.667 0.667
Rb: 0.656 0.431 0.138
Rb: 0.344 0.569 0.862
Hg: 0.773 0.822 0.356
Hg: 0.227 0.178 0.644

=====

No. 20
Computed, not measured: crystalline Cs3Rb8Hg3 at its relaxed geometry at the PBE level of DFT.

## Properties
- crystal system = monoclinic
- formation enthalpy at 0 K (kJ per mole of atoms) = -7.7

a b c (Å): 6.986 14.143 12.814
angles (deg): 56.79 74.18 75.70
Fractional positions:
Cs: 0.000 0.000 0.000
Cs: 0.728 0.296 0.248
Cs: 0.272 0.704 0.752
Rb: 0.481 0.344 0.695
Rb: 0.138 0.569 0.154
Rb: 0.862 0.431 0.846
Rb: 0.351 0.062 0.236
Rb: 0.519 0.656 0.305
Rb: 0.873 0.791 0.463
Rb: 0.649 0.938 0.764
Rb: 0.127 0.209 0.537
Hg: 0.306 0.376 0.011
Hg: 0.694 0.624 0.989
Hg: 0.000 0.500 0.500

=====

E_tot
In order: -0.8236 -0.8237 -0.7896 -0.5309 -0.7999 -0.8263 -0.8793 -0.8549 -0.8618 -0.9139 -0.8799 -0.8648 -0.8864 -0.8529 -0.8610 -0.8392 -0.8417 -0.8611 -0.8556 -0.8799
Unit: eV per atom